1.
The following is a PBE calculation of a relaxed structure of LaTlSe2N, from Alexandria via LeMat-Bulk.

Formation energy from raw total energies: -87 meV per atom
Crystal system: tetragonal
Excess energy over the best structure of this formula in the dataset: 0.000 eV per atom

Cell lengths 6.0508, 6.0508, 4.3234 Å; angles 90.00, 90.00, 90.00 degrees
Space group P4/mmm (No. 123)
Inequivalent atoms, fractional coordinates:
La: 0.0000 0.0000 0.0000 (multiplicity 1)
Tl: 0.5000 0.5000 0.5000 (multiplicity 1)
Se: 0.0000 0.5000 0.0000 (multiplicity 2)
N: 0.0000 0.0000 0.5000 (multiplicity 1)



2.
The following is a PBE calculation of a relaxed structure of LaTlSe2N, from Alexandria via LeMat-Bulk.

Formation energy from raw total energies: 45 meV per atom
Crystal system: tetragonal
Excess energy over the best structure of this formula in the dataset: 0.133 eV per atom

Cell lengths 5.4616, 5.4616, 4.2722 Å; angles 90.00, 90.00, 90.00 degrees
Space group P4/mmm (No. 123)
Inequivalent atoms, fractional coordinates:
La: 0.0000 0.0000 0.0000 (multiplicity 1)
Tl: 0.5000 0.5000 0.5000 (multiplicity 1)
Se: 0.0000 0.5000 0.5000 (multiplicity 2)
N: 0.5000 0.5000 0.0000 (multiplicity 1)



3.
The following is a PBE calculation of a relaxed structure of LaVSeN2, from Alexandria via LeMat-Bulk.

Formation energy from raw total energies: 825 meV per atom
Crystal system: tetragonal
Excess energy over the best structure of this formula in the dataset: 1.466 eV per atom

Cell lengths 4.1708, 4.1708, 6.2375 Å; angles 90.00, 90.00, 90.00 degrees
Space group P4/mmm (No. 123)
Inequivalent atoms, fractional coordinates:
La: 0.0000 0.0000 0.0000 (multiplicity 1)
V: 0.5000 0.5000 0.5000 (multiplicity 1)
Se: 0.0000 0.0000 0.5000 (multiplicity 1)
N: 0.0000 0.5000 0.0000 (multiplicity 2)



4.
The following is a PBE calculation of a relaxed structure of LaVSeN2, from Alexandria via LeMat-Bulk.

Formation energy from raw total energies: -641 meV per atom
Crystal system: tetragonal
Excess energy over the best structure of this formula in the dataset: 0.000 eV per atom

Cell lengths 4.0199, 4.0199, 4.8680 Å; angles 90.00, 90.00, 90.00 degrees
Space group P4/mmm (No. 123)
Inequivalent atoms, fractional coordinates:
La: 0.0000 0.0000 0.0000 (multiplicity 1)
V: 0.5000 0.5000 0.5000 (multiplicity 1)
Se: 0.5000 0.5000 0.0000 (multiplicity 1)
N: 0.0000 0.5000 0.5000 (multiplicity 2)



5.
The following is a PBE calculation of a relaxed structure of LaWSe2N, from Alexandria via LeMat-Bulk.

Formation energy from raw total energies: -747 meV per atom
Crystal system: tetragonal
Excess energy over the best structure of this formula in the dataset: 0.000 eV per atom

Cell lengths 5.1381, 5.1381, 3.8861 Å; angles 90.00, 90.00, 90.00 degrees
Space group P4/mmm (No. 123)
Inequivalent atoms, fractional coordinates:
La: 0.0000 0.0000 0.0000 (multiplicity 1)
W: 0.5000 0.5000 0.5000 (multiplicity 1)
Se: 0.0000 0.5000 0.5000 (multiplicity 2)
N: 0.5000 0.5000 0.0000 (multiplicity 1)



6.
The following is a PBE calculation of a relaxed structure of LaWSeN2, from Alexandria via LeMat-Bulk.

Formation energy from raw total energies: 1696 meV per atom
Crystal system: tetragonal
Excess energy over the best structure of this formula in the dataset: 2.267 eV per atom

Cell lengths 4.1582, 4.1582, 5.9840 Å; angles 90.00, 90.00, 90.00 degrees
Space group P4/mmm (No. 123)
Inequivalent atoms, fractional coordinates:
La: 0.0000 0.0000 0.0000 (multiplicity 1)
W: 0.5000 0.5000 0.5000 (multiplicity 1)
Se: 0.0000 0.0000 0.5000 (multiplicity 1)
N: 0.0000 0.5000 0.0000 (multiplicity 2)



Density (computed, Mg/m³): 5.4 6.7 4.5 6.3 8.0 6.9
Calculated total energy (computed, eV/atom): -4.60 -4.47 -6.01 -7.48 -7.38 -5.91